1.
## Tm3Mg4Cd2 (PBE-GGA)

Data for a relaxed Tm3Mg4Cd2 crystal.

```
Tm3Mg4Cd2
1.0
4.6013 -2.6047 0.0000
4.6013 2.6047 0.0000
-1.0093 0.0000 9.2831
Tm Mg Cd
3 4 2
Direct
0.0000 0.0000 0.0000
0.3630 0.3630 0.2437
0.6370 0.6370 0.7563
0.0441 0.0441 0.3493
0.3208 0.3208 0.9004
0.6792 0.6792 0.0996
0.9559 0.9559 0.6507
0.2887 0.2887 0.5904
0.7113 0.7113 0.4096
```

Summary:
As for the formation energy: -8.4 kJ per mole of atoms. Its space-group type is C2/m. Its distance to the lowest polymorph of the same formula is 63.7 meV per atom.



2.
## AcDyIn2Te4 (PBE-GGA)

Data for a relaxed AcDyIn2Te4 crystal.

```
AcDyIn2Te4
1.0
7.9827 0.0000 0.0000
0.0000 4.5892 0.0000
-2.6262 0.0000 8.1089
Ac Dy In Te
1 1 2 4
Direct
0.0000 0.0000 0.0000
0.5000 0.5000 0.0000
0.0000 0.5000 0.5000
0.5000 0.0000 0.5000
0.2617 0.5000 0.2302
0.2769 0.0000 0.7789
0.7231 0.0000 0.2211
0.7383 0.5000 0.7698
```

Summary:
The formation energy from raw total energies is -8.0 eV/f.u. Its space-group type is P2/m.



3.
## GaAs3C (PBE-GGA)

Data for a relaxed GaAs3C crystal.

```
GaAs3C
1.0
4.4243 0.0000 0.0000
0.0000 4.4243 0.0000
0.0000 0.0000 4.4243
Ga As C
1 3 1
Direct
0.0000 0.0000 0.0000
0.0000 0.5000 0.5000
0.5000 0.0000 0.5000
0.5000 0.5000 0.0000
0.5000 0.5000 0.5000
```

Summary:
As for the formation energy: 95.9 kJ per mole of atoms. Its space-group type is Pm-3m. Its distance to the lowest polymorph of the same formula is 0.0 meV per atom.



4.
## CsK2CdHg (PBE-GGA)

Data for a relaxed CsK2CdHg crystal.

```
CsK2CdHg
1.0
6.8500 0.0000 0.0000
0.0000 6.8500 0.0000
0.0000 0.0000 6.0895
Cs K Cd Hg
1 2 1 1
Direct
0.0000 0.0000 0.0000
0.0000 0.5000 0.5000
0.5000 0.0000 0.5000
0.5000 0.5000 0.5000
0.5000 0.5000 0.0000
```

Summary:
As for the formation energy: -1.2 kJ per mole of atoms. Its space-group type is P4/mmm. Its distance to the lowest polymorph of the same formula is 28.6 meV per atom.



5.
## Sr6Al2Bi (PBE-GGA)

Data for a relaxed Sr6Al2Bi crystal.

```
Sr6Al2Bi
1.0
-5.3699 5.5650 5.9402
5.3699 -5.5650 5.9402
5.3699 5.5650 -5.9402
Sr Al Bi
12 4 2
Direct
0.0270 0.2378 0.7892
0.1836 0.2693 0.4530
0.1836 0.7307 0.9143
0.3259 0.0329 0.7070
0.3259 0.6190 0.2930
0.4486 0.2378 0.2108
0.5514 0.7622 0.7892
0.6741 0.3810 0.7070
0.6741 0.9671 0.2930
0.8164 0.2693 0.0857
0.8164 0.7307 0.5470
0.9730 0.7622 0.2108
0.1098 0.6098 0.5000
0.3735 0.0000 0.3735
0.6265 0.0000 0.6265
0.8902 0.3902 0.5000
0.0000 0.0000 0.0000
0.5000 0.5000 0.0000
```

Summary:
As for the formation energy: -28.2 kJ per mole of atoms. Its space-group type is Immm.



6.
## KRbOs2Ru (PBE-GGA)

Data for a relaxed KRbOs2Ru crystal.

```
KRbOs2Ru
1.0
5.1112 0.0000 0.0000
0.0000 5.1112 0.0000
0.0000 0.0000 5.0478
K Rb Os Ru
1 1 2 1
Direct
0.0000 0.0000 0.0000
0.5000 0.5000 0.5000
0.0000 0.5000 0.5000
0.5000 0.0000 0.5000
0.5000 0.5000 0.0000
```

Summary:
As for the formation energy: 334.5 kJ per mole of atoms. Its space-group type is P4/mmm.



7.
## MnCr2Ir4 (PBE-GGA)

Data for a relaxed MnCr2Ir4 crystal.

```
MnCr2Ir4
1.0
3.5649 -3.7595 0.0000
3.5649 3.7595 0.0000
0.0000 0.0000 3.8990
Mn Cr Ir
1 2 4
Direct
0.0000 0.0000 0.0000
0.2997 0.7003 0.5000
0.7003 0.2997 0.5000
0.0000 0.5000 0.0000
0.2180 0.2180 0.5000
0.5000 0.0000 0.0000
0.7820 0.7820 0.5000
```

Summary:
As for the formation energy: 14.1 kJ per mole of atoms. Its space-group type is Cmmm.



8.
## SiRhCl3 (PBE-GGA)

Data for a relaxed SiRhCl3 crystal.

```
SiRhCl3
1.0
4.8841 0.0000 0.0000
0.0000 4.8841 0.0000
0.0000 0.0000 4.8841
Si Rh Cl
1 1 3
Direct
0.0000 0.0000 0.0000
0.5000 0.5000 0.5000
0.0000 0.0000 0.5000
0.0000 0.5000 0.0000
0.5000 0.0000 0.0000
```

Summary:
The formation energy from raw total energies is 1.5 eV/f.u. Its space-group type is Pm-3m. Its distance to the lowest polymorph of the same formula is 105.8 meV per atom.